Record 1
Entry from Alexandria via LeMat-Bulk: a relaxed structure of Hf6InH (PBE).

## Properties
Crystal system   triclinic
Fermi-level density of states   1.228 states/eV per atom

The structure in extended XYZ format:
```
8
Lattice="7.022 -0.019 0.776 3.392 3.996 1.586 4.253 2.477 6.776" Properties=species:S:1:pos:R:3 pbc="T T T"
Hf 11.472 4.156 6.085
Hf 12.581 6.001 8.397
Hf 6.132 1.361 2.324
Hf 2.085 0.453 0.741
Hf 3.195 2.298 3.053
Hf 8.535 5.093 6.814
In 7.333 3.227 4.569
H 0.000 0.000 0.000
```

---

Record 2
Entry from Alexandria via LeMat-Bulk: a relaxed structure of DyHf2P4 (PBE).

## Properties
Crystal system   orthorhombic
E_form   -1022.0 meV/atom
Fermi-level density of states   0.278 states/eV per atom

The structure in extended XYZ format:
```
14
Lattice="-0.486 -3.058 -2.124 5.821 -0.590 2.838 -5.136 -5.681 9.355" Properties=species:S:1:pos:R:3 pbc="T T T"
Dy -2.915 -6.239 6.330
Dy 3.114 -3.091 3.739
Hf -0.775 -3.097 4.636
Hf -1.022 -8.441 9.068
Hf 1.221 -0.889 1.001
Hf 0.974 -6.233 5.432
P 1.989 -3.388 1.103
P 0.781 -4.724 3.304
P -1.790 -5.942 8.965
P -0.582 -4.606 6.765
P 0.829 -7.661 7.522
P -0.631 -1.669 2.547
P -0.243 -1.529 -1.062
P -2.811 -4.370 3.615
```

---

How do the records compare in ρ? In the order shown, they have 12.62, 7.56 g cm⁻³.
How do the records compare in magnetic moment? In the order shown, they have 0.000, 0.000 μB per atom.
How do the records compare in calculated total energy? In the order shown, they have -8.322, -7.615 eV/atom.